Here is a geometry-optimized Li4MnFe3P4O16 structure from the Alexandria database. Energies are from PBE+U.

Values from the calculation:
E (Ry per atom): -0.5086
Crystal system: triclinic
Polymorph energy (0 for the lowest one) (meV per atom): 0.0

a b c (Å): 7.7425 7.7428 10.4855
angles (deg): 90.07 90.09 104.08
Last column: nearest neighbours and their distance in Å.
Space group P-1 (No. 2)
Unique sites:
Li 0.0000 0.0000 0.0000  6 O 2.09-2.22
Li 0.0000 0.5000 0.5000  6 O 2.12-2.22
Li 0.2488 0.2488 0.5009  6 O 2.12-2.23
Li 0.2486 0.7524 0.0012  6 O 2.11-2.24
Li 0.5000 0.0000 0.5000  6 O 2.11-2.20
Li 0.5000 0.5000 0.0000  6 O 2.13-2.22
Mn 0.1370 0.3865 0.2184  6 O 2.16-2.30
Fe 0.1391 0.8896 0.2816  6 O 2.09-2.31
Fe 0.3617 0.6120 0.7186  6 O 2.09-2.31
Fe 0.3646 0.1139 0.7809  6 O 2.08-2.26
P 0.0839 0.3304 0.9046  4 O 1.54-1.57
P 0.0856 0.8351 0.5930  4 O 1.54-1.57
P 0.4179 0.6675 0.4068  4 O 1.54-1.58
P 0.4197 0.1664 0.0936  4 O 1.54-1.57
O 0.0218 0.2688 0.0418  1 P 1.56
O 0.0227 0.7723 0.4562  1 P 1.55
O 0.0820 0.1299 0.3366  1 P 1.57
O 0.0850 0.6383 0.1658  1 P 1.57
O 0.1210 0.6677 0.6633  1 P 1.57
O 0.1222 0.1635 0.8351  1 P 1.57
O 0.2430 0.4940 0.9030  1 P 1.54
O 0.2469 0.9967 0.5964  1 P 1.54
O 0.2563 0.0073 0.0972  1 P 1.54
O 0.2565 0.5064 0.4043  1 P 1.54
O 0.3835 0.8349 0.3353  1 P 1.58
O 0.3890 0.3358 0.1637  1 P 1.57
O 0.4128 0.8712 0.8370  1 P 1.57
O 0.4150 0.3673 0.6647  1 P 1.57
O 0.4804 0.2274 0.9558  1 P 1.56
O 0.4804 0.7299 0.5437  1 P 1.55